Entry 1:
{"formula": "PmBrCl2", "functional": "GGA-PBE", "state": "optimized geometry", "e_above_lowest_polymorph_kj_per_mol_fu": 10, "formation_energy_uncorrected_ev_per_atom": -2.114, "volume_a3_per_cell": 312.1, "cell": [[5.451, 0.000, 0.000], [0.000, 4.083, 1.003], [0.000, -1.208, 13.728]], "species": ["Pm", "Pm", "Br", "Br", "Cl", "Cl", "Cl", "Cl"], "frac_coords": [[0.250, 0.363, 0.272], [0.750, 0.637, 0.728], [0.250, 0.937, 0.125], [0.750, 0.063, 0.875], [0.750, 0.361, 0.276], [0.250, 0.639, 0.724], [0.750, 0.201, 0.599], [0.250, 0.799, 0.401]]}



Entry 2:
{"formula": "Pm2Br4Cl", "functional": "GGA-PBE", "state": "optimized geometry", "formation_energy_uncorrected_ev_per_atom": -1.700, "volume_a3_per_cell": 222.2, "cell": [[-4.214, 1.665, 2.416], [-4.003, -3.151, 0.648], [0.964, -3.453, 9.518]], "species": ["Cl", "Br", "Br", "Br", "Br", "Pm", "Pm"], "frac_coords": [[0.500, 0.500, 0.500], [0.701, 0.701, 0.898], [0.902, 0.902, 0.294], [0.299, 0.299, 0.102], [0.098, 0.098, 0.706], [0.592, 0.592, 0.223], [0.408, 0.408, 0.777]]}



Entry 3:
{"formula": "Pm2BrCl", "functional": "GGA-PBE", "state": "optimized geometry", "e_above_lowest_polymorph_kj_per_mol_fu": 11, "formation_energy_uncorrected_ev_per_atom": -1.206, "volume_a3_per_cell": 119.7, "cell": [[-1.900, 2.517, -1.995], [1.856, -2.736, -1.730], [-8.079, -5.752, 0.433]], "species": ["Pm", "Pm", "Br", "Cl"], "frac_coords": [[0.736, 0.495, 0.032], [0.403, 0.830, 0.517], [0.736, 0.497, 0.735], [0.403, 0.828, 0.235]]}



Entry 4:
{"formula": "Pm4Br5Cl2", "functional": "GGA-PBE", "state": "optimized geometry", "formation_energy_uncorrected_ev_per_atom": -1.535, "volume_a3_per_cell": 395.1, "cell": [[3.660, 0.000, -0.784], [-0.408, 11.069, -1.903], [0.151, 0.470, 9.636]], "species": ["Pm", "Pm", "Pm", "Pm", "Br", "Br", "Br", "Br", "Br", "Cl", "Cl"], "frac_coords": [[0.327, 0.475, 0.653], [0.030, 0.214, 0.059], [0.673, 0.525, 0.347], [0.970, 0.786, 0.941], [0.879, 0.282, 0.757], [0.121, 0.718, 0.243], [0.814, 0.699, 0.627], [0.500, 0.000, 0.000], [0.186, 0.301, 0.373], [0.461, 0.606, 0.921], [0.539, 0.394, 0.079]]}



Entry 5:
{"formula": "Pm2Br3Cl", "functional": "GGA-PBE", "state": "optimized geometry", "e_above_lowest_polymorph_kj_per_mol_fu": 0, "formation_energy_uncorrected_ev_per_atom": -1.729, "volume_a3_per_cell": 414.8, "cell": [[3.902, 0.000, 0.641], [1.761, 8.187, 1.481], [-0.154, 1.199, 13.134]], "species": ["Pm", "Pm", "Pm", "Pm", "Br", "Br", "Br", "Br", "Br", "Br", "Cl", "Cl"], "frac_coords": [[0.245, 0.627, 0.884], [0.755, 0.373, 0.116], [0.743, 0.869, 0.646], [0.257, 0.131, 0.354], [0.115, 0.993, 0.777], [0.885, 0.007, 0.223], [0.379, 0.265, 0.977], [0.621, 0.735, 0.023], [0.639, 0.215, 0.507], [0.361, 0.785, 0.493], [0.855, 0.540, 0.750], [0.145, 0.460, 0.250]]}



Entry 6:
{"formula": "Pm2BrCl", "functional": "GGA-PBE", "state": "optimized geometry", "e_above_lowest_polymorph_kj_per_mol_fu": 4, "formation_energy_uncorrected_ev_per_atom": -1.223, "volume_a3_per_cell": 103.0, "cell": [[3.614, 0.000, 0.000], [1.807, 3.130, 0.000], [1.807, 1.043, 9.105]], "species": ["Cl", "Br", "Pm", "Pm"], "frac_coords": [[0.000, 0.000, 0.000], [0.500, 0.500, 0.500], [0.747, 0.747, 0.759], [0.253, 0.253, 0.241]]}



Entry 7:
{"formula": "Pm2BrCl5", "functional": "GGA-PBE", "state": "optimized geometry", "formation_energy_uncorrected_ev_per_atom": -2.056, "volume_a3_per_cell": 212.0, "cell": [[-4.425, -1.400, -0.009], [-0.267, -6.835, -2.387], [-1.051, -4.413, 5.650]], "species": ["Pm", "Pm", "Br", "Cl", "Cl", "Cl", "Cl", "Cl"], "frac_coords": [[0.754, 0.746, 0.746], [0.246, 0.254, 0.254], [0.000, 0.000, 0.000], [0.000, 0.500, 0.500], [0.667, 0.519, 0.147], [0.333, 0.481, 0.853], [0.333, 0.853, 0.481], [0.667, 0.147, 0.519]]}



Entry 8:
{"formula": "Pm2Br2Cl3", "functional": "GGA-PBE", "state": "optimized geometry", "formation_energy_uncorrected_ev_per_atom": -1.966, "volume_a3_per_cell": 224.8, "cell": [[-1.251, 2.959, -1.830], [-4.714, -2.923, -5.239], [-7.428, 1.516, 3.792]], "species": ["Pm", "Pm", "Br", "Br", "Cl", "Cl", "Cl"], "frac_coords": [[0.181, 0.897, 0.741], [0.819, 0.103, 0.259], [0.188, 0.401, 0.223], [0.812, 0.599, 0.777], [0.500, 0.000, 0.000], [0.377, 0.838, 0.408], [0.623, 0.162, 0.592]]}